# 1
The following is a DFT calculation (PBE) of a relaxed NaPmP2Pt2 crystal.

Values from the calculation:
- DFT formation energy (kJ per mole of atoms) = -90.4
- symmetry = No. 164
- total DFT energy (no corrections) (eV per atom) = -5.766
- magnetization (μB per cell) = 0.00

Cell: 4.0505 4.0505 8.6618 Å, 90.00 90.00 120.00°
Atoms (fractional coordinates):
Na 0.0000 0.0000 0.5000
Pm 0.0000 0.0000 0.0000
P 0.6667 0.3333 0.2291
P 0.3333 0.6667 0.7709
Pt 0.6667 0.3333 0.7508
Pt 0.3333 0.6667 0.2492

=====

# 2
The following is a DFT calculation (PBE) of a relaxed UPd2Se3 crystal.

Values from the calculation:
- symmetry = No. 12
- total DFT energy (no corrections) (eV per atom) = -5.990
- energy above the most stable polymorph in this dataset (meV/atom) = 3
- magnetization (μB per cell) = 1.53

Cell: 4.0721 6.7152 10.1990 Å, 89.69 101.52 90.00°
Atoms (fractional coordinates):
U 0.3451 0.9750 0.6901
U 0.6549 0.0250 0.3099
Pd 0.3071 0.5155 0.6143
Pd 0.6929 0.4845 0.3857
Pd 0.9611 0.8359 0.9223
Pd 0.0389 0.1641 0.0777
Se 0.2298 0.2262 0.4596
Se 0.0947 0.8116 0.1894
Se 0.4249 0.6466 0.8499
Se 0.7702 0.7738 0.5404
Se 0.5751 0.3534 0.1501
Se 0.9053 0.1884 0.8106

=====

# 3
The following is a DFT calculation (PBE) of a relaxed CrFe2Sb crystal.

Values from the calculation:
- symmetry = No. 119
- total DFT energy (no corrections) (eV per atom) = -7.437
- magnetization (μB per cell) = 6.64

Cell: 4.5657 4.5657 3.9459 Å, 64.39 64.39 51.23°
Atoms (fractional coordinates):
Cr 0.7500 0.7500 0.7500
Fe 0.0000 0.0000 0.0001
Fe 0.2501 0.2501 0.2499
Sb 0.5000 0.5000 0.5000

=====

# 4
The following is a DFT calculation (PBE) of a relaxed PuHg2Bi crystal.

Values from the calculation:
- DFT formation energy (kJ per mole of atoms) = -21.7
- symmetry = No. 123
- total DFT energy (no corrections) (eV per atom) = -4.929
- magnetization (μB per cell) = 5.49

Cell: 5.1189 4.5581 4.5581 Å, 90.00 90.00 90.00°
Atoms (fractional coordinates):
Hg 0.0000 0.0000 0.5000
Hg 0.0000 0.5000 0.0000
Bi 0.5000 0.0000 0.0000
Pu 0.5000 0.5000 0.5000

=====

# 5
The following is a DFT calculation (PBE) of a relaxed Rb6PtF12 crystal.

Values from the calculation:
- symmetry = No. 148
- total DFT energy (no corrections) (eV per atom) = -3.958
- magnetization (μB per cell) = 2.19

Cell: 7.7698 7.7698 7.7698 Å, 98.95 98.95 98.95°
Atoms (fractional coordinates):
Rb 0.7117 0.8439 0.3943
Rb 0.6057 0.2883 0.1561
Rb 0.1561 0.6057 0.2883
Rb 0.2883 0.1561 0.6057
Rb 0.3943 0.7117 0.8439
Rb 0.8439 0.3943 0.7117
Pt 0.0000 0.0000 0.0000
F 0.8468 0.5423 0.4124
F 0.4124 0.8468 0.5423
F 0.5423 0.4124 0.8468
F 0.1532 0.4577 0.5876
F 0.5876 0.1532 0.4577
F 0.4577 0.5876 0.1532
F 0.0536 0.9876 0.2528
F 0.0124 0.7472 0.9464
F 0.7472 0.9464 0.0124
F 0.9464 0.0124 0.7472
F 0.9876 0.2528 0.0536
F 0.2528 0.0536 0.9876

=====

# 6
The following is a DFT calculation (PBE) of a relaxed Cs2RbTe crystal.

Values from the calculation:
- symmetry = No. 160
- total DFT energy (no corrections) (eV per atom) = -2.124
- energy above the most stable polymorph in this dataset (meV/atom) = 0
- magnetization (μB per cell) = 0.00

Cell: 6.1235 6.1235 10.4855 Å, 73.02 73.02 60.00°
Atoms (fractional coordinates):
Cs 0.0427 0.0427 0.8718
Cs 0.2810 0.2810 0.1569
Rb 0.5249 0.5249 0.4252
Te 0.6513 0.6513 0.0460

=====

# 7
The following is a DFT calculation (PBE) of a relaxed AcCoS3 crystal.

Values from the calculation:
- symmetry = No. 221
- total DFT energy (no corrections) (eV per atom) = -5.784
- magnetization (μB per cell) = 0.88

Cell: 4.5928 4.5928 4.5928 Å, 90.00 90.00 90.00°
Atoms (fractional coordinates):
Ac 0.5000 0.5000 0.5000
Co 0.0000 0.0000 0.0000
S 0.0000 0.5000 0.0000
S 0.0000 0.0000 0.5000
S 0.5000 0.0000 0.0000

=====

# 8
The following is a DFT calculation (PBE) of a relaxed K5PdIO2 crystal.

Values from the calculation:
- symmetry = No. 123
- total DFT energy (no corrections) (eV per atom) = -3.483
- magnetization (μB per cell) = 0.07

Cell: 5.3893 5.3893 9.3471 Å, 90.00 90.00 90.00°
Atoms (fractional coordinates):
K 0.0000 0.0000 0.5000
K 0.0000 0.5000 0.7932
K 0.5000 0.0000 0.2068
K 0.0000 0.5000 0.2068
K 0.5000 0.0000 0.7932
Pd 0.0000 0.0000 0.0000
I 0.5000 0.5000 0.5000
O 0.0000 0.0000 0.2240
O 0.0000 0.0000 0.7760

=====

# 9
The following is a DFT calculation (PBE) of a relaxed Cd5Pt4Au crystal.

Values from the calculation:
- DFT formation energy (kJ per mole of atoms) = -27.8
- symmetry = No. 123
- total DFT energy (no corrections) (eV per atom) = -3.490
- magnetization (μB per cell) = 0.00

Cell: 3.0222 3.0222 19.6054 Å, 90.00 90.00 90.00°
Atoms (fractional coordinates):
Cd 0.5000 0.5000 0.1074
Cd 0.5000 0.5000 0.3034
Cd 0.5000 0.5000 0.5000
Cd 0.5000 0.5000 0.6966
Cd 0.5000 0.5000 0.8926
Pt 0.0000 0.0000 0.2046
Pt 0.0000 0.0000 0.4016
Pt 0.0000 0.0000 0.5984
Pt 0.0000 0.0000 0.7954
Au 0.0000 0.0000 0.0000

=====

# 10
The following is a DFT calculation (PBE) of a relaxed TbPmSm2Tm4 crystal.

Values from the calculation:
- DFT formation energy (kJ per mole of atoms) = 41.6
- symmetry = No. 74
- total DFT energy (no corrections) (eV per atom) = -4.157
- magnetization (μB per cell) = 5.99

Cell: 9.4742 9.4742 11.7426 Å, 128.29 128.30 88.60°
Atoms (fractional coordinates):
Tb 0.5000 0.5000 0.5000
Tb 0.0000 0.0000 0.0000
Pm 0.0000 0.5000 0.0000
Pm 0.0000 0.5000 0.5000
Sm 0.5000 0.0000 0.0000
Sm 0.5000 0.0000 0.5000
Sm 0.0000 0.0000 0.5000
Sm 0.5000 0.5000 0.0000
Tm 0.2486 0.7517 0.0000
Tm 0.7483 0.2514 0.5000
Tm 0.2517 0.7486 0.5000
Tm 0.7514 0.2483 0.0000
Tm 0.7499 0.7501 0.9983
Tm 0.7499 0.7501 0.5017
Tm 0.2501 0.2499 0.4983
Tm 0.2501 0.2499 0.0017

=====

# 11
The following is a DFT calculation (PBE) of a relaxed NdZn2In crystal.

Values from the calculation:
- DFT formation energy (kJ per mole of atoms) = -27.3
- symmetry = No. 123
- total DFT energy (no corrections) (eV per atom) = -2.796
- magnetization (μB per cell) = 0.00

Cell: 4.2051 4.6274 4.6274 Å, 90.00 90.00 90.00°
Atoms (fractional coordinates):
Zn 0.0000 0.0000 0.5000
Zn 0.0000 0.5000 0.0000
Nd 0.5000 0.5000 0.5000
In 0.5000 0.0000 0.0000

=====

# 12
The following is a DFT calculation (PBE) of a relaxed Li3PrDy2Te6 crystal.

Values from the calculation:
- symmetry = No. 12
- total DFT energy (no corrections) (eV per atom) = -4.506
- magnetization (μB per cell) = 0.00

Cell: 7.6100 7.6100 7.5153 Å, 99.73 99.73 120.00°
Atoms (fractional coordinates):
Li 0.1652 0.8348 0.5000
Li 0.8348 0.1652 0.5000
Li 0.5000 0.5000 0.5000
Pr 0.0000 0.0000 0.0000
Dy 0.3332 0.6668 0.0000
Dy 0.6668 0.3332 0.0000
Te 0.9139 0.5713 0.7424
Te 0.7436 0.7436 0.2587
Te 0.0861 0.4287 0.2576
Te 0.5713 0.9139 0.7424
Te 0.2564 0.2564 0.7413
Te 0.4287 0.0861 0.2576